# PBE-GGA Sc3TcIr, relaxed
# energy above the lowest structure with this stoichiometry	0.43	eV/f.u.
# DOS(E_F)	4.23	states/eV/f.u.
# SG	Pm-3m (221)
# E_form	1.89	eV/f.u.
# total moment	0.0	Bohr magnetons per cell
data_Sc3TcIr
_cell_length_a 4.783
_cell_length_b 4.783
_cell_length_c 4.783
_cell_angle_alpha 90.00
_cell_angle_beta 90.00
_cell_angle_gamma 90.00
_space_group_name_H-M_alt 'P 1'
_space_group_IT_number 1
_space_group_name_Hall 'P 1'
loop_
_atom_site_label
_atom_site_type_symbol
_atom_site_fract_x
_atom_site_fract_y
_atom_site_fract_z
Sc1 Sc 0.000 0.000 0.500
Sc2 Sc 0.000 0.500 0.000
Sc3 Sc 0.500 0.000 0.000
Tc1 Tc 0.000 0.000 0.000
Ir1 Ir 0.500 0.500 0.500